No. 1
Here is an optimized crystal structure of SrEr2Fe from the Alexandria database. Energies are from GGA-PBE.

Computed properties:
Calculated volume   387.84 Å³/cell
DFT formation energy   0.32 eV/atom
Theoretical density   6.1 Mg/m³
Total magnetic moment   0.62 μB/f.u.
E   -4.5018 eV per atom

Unit cell a=3.7584 b=3.7584 c=31.7038 alpha=90.00 beta=90.00 gamma=120.00
Space group R-3m (No. 166, hexagonal axes)
Inequivalent atoms, fractional coordinates:
Sr1 0.0000 0.0000 0.0000 (multiplicity 3)
Er1 0.0000 0.0000 0.1179 (multiplicity 6)
Fe1 0.0000 0.0000 0.5000 (multiplicity 3)

***

No. 2
Here is an optimized crystal structure of SrEr3Fe from the Alexandria database. Energies are from GGA-PBE.

Computed properties:
Calculated volume   150.97 Å³/cell
DFT formation energy   0.07 eV/atom
Theoretical density   7.1 Mg/m³
Total magnetic moment   0.00 μB/f.u.
E   -4.7005 eV per atom

Unit cell a=5.325 b=5.325 c=5.325 alpha=90.00 beta=90.00 gamma=90.00
Space group Pm-3m (No. 221)
Inequivalent atoms, fractional coordinates:
Sr1 0.000 0.000 0.000 (multiplicity 1)
Er1 0.000 0.500 0.500 (multiplicity 3)
Fe1 0.500 0.500 0.500 (multiplicity 1)

***

No. 3
Here is an optimized crystal structure of ErTaFe4 from the Alexandria database. Energies are from GGA-PBE.

Computed properties:
Calculated volume   172.50 Å³/cell
DFT formation energy   -0.13 eV/atom
Theoretical density   11.0 Mg/m³
Total magnetic moment   6.37 μB/f.u.
E   -8.5108 eV per atom

Unit cell a=4.9457 b=4.9457 c=8.1433 alpha=90.00 beta=90.00 gamma=120.00
Space group P-3m1 (No. 164)
Inequivalent atoms, fractional coordinates:
Er1 0.3333 0.6667 0.0671 (multiplicity 2)
Ta1 0.3333 0.6667 0.4441 (multiplicity 2)
Fe1 0.0000 0.0000 0.0000 (multiplicity 1)
Fe2 0.0000 0.0000 0.5000 (multiplicity 1)
Fe3 0.1680 0.3360 0.7355 (multiplicity 6)